VASP calculation (PBE) on a relaxed CeZr2Be crystal.

Output
As for the crystal system: cubic. The offset from the most stable computed form comes out at 255 meV per atom.

Lattice parameters (Å, degrees): 6.819 6.819 6.819 90.00 90.00 90.00
Space group Fm-3m (No. 225)
Symmetry-distinct sites (fractional):
Ce: 0.000 0.000 0.000 [4 per cell]
Zr: 0.250 0.250 0.250 [8 per cell]
Be: 0.000 0.000 0.500 [4 per cell]

=====

VASP calculation (PBE) on a relaxed La2HoCd12Ag3 crystal.

Output
As for the crystal system: trigonal.

Lattice parameters (Å, degrees): 8.8661 8.8661 22.2630 90.00 90.00 120.00
Space group R-3m (No. 166, hexagonal axes)
Symmetry-distinct sites (fractional):
La: 0.0000 0.0000 0.0839 [6 per cell]
Ho: 0.0000 0.0000 0.5000 [3 per cell]
Cd: 0.0700 0.5350 0.2707 [18 per cell]
Cd: 0.0901 0.5451 0.8708 [18 per cell]
Ag: 0.0000 0.5000 0.0000 [9 per cell]

=====

VASP calculation (PBE) on a relaxed CaMo2Pt crystal.

Output
As for the crystal system: orthorhombic. The offset from the most stable computed form comes out at 189 meV per atom.

Lattice parameters (Å, degrees): 3.318 4.943 9.018 90.00 90.00 90.00
Space group Imm2 (No. 44)
Symmetry-distinct sites (fractional):
Ca: 0.000 0.000 0.000 [2 per cell]
Mo: 0.000 0.000 0.479 [2 per cell]
Mo: 0.000 0.500 0.780 [2 per cell]
Pt: 0.000 0.500 0.230 [2 per cell]

=====

VASP calculation (PBE) on a relaxed LaY2Tm5Sc crystal.

Output
As for the crystal system: orthorhombic.

Lattice parameters (Å, degrees): 5.561 19.488 10.337 90.00 90.00 90.00
Space group Cmc2_1 (No. 36)
Symmetry-distinct sites (fractional):
La: 0.000 0.083 0.000 [4 per cell]
Y: 0.000 0.387 0.278 [4 per cell]
Y: 0.000 0.389 0.862 [4 per cell]
Tm: 0.000 0.018 0.283 [4 per cell]
Tm: 0.000 0.122 0.566 [4 per cell]
Tm: 0.000 0.203 0.253 [4 per cell]
Tm: 0.000 0.222 0.868 [4 per cell]
Tm: 0.000 0.481 0.570 [4 per cell]
Sc: 0.000 0.302 0.560 [4 per cell]

=====

VASP calculation (PBE) on a relaxed BAsPd crystal.

Output
As for the crystal system: monoclinic. The offset from the most stable computed form comes out at 28 meV per atom.

Lattice parameters (Å, degrees): 10.623 3.086 6.137 90.00 116.87 90.00
Space group C2/m (No. 12)
Symmetry-distinct sites (fractional):
B: 0.213 0.000 0.473 [4 per cell]
As: 0.004 0.000 0.205 [4 per cell]
Pd: 0.154 0.500 0.733 [4 per cell]

=====

VASP calculation (PBE) on a relaxed Tm2ScPb crystal.

Output
As for the crystal system: tetragonal. The offset from the most stable computed form comes out at 38 meV per atom.

Lattice parameters (Å, degrees): 4.075 4.075 6.518 90.00 90.00 90.00
Space group P4/mmm (No. 123)
Symmetry-distinct sites (fractional):
Tm: 0.000 0.000 0.248 [2 per cell]
Sc: 0.500 0.500 0.500 [1 per cell]
Pb: 0.500 0.500 0.000 [1 per cell]

=====

no.,calculated total energy (eV/f.u.),calculated volume (Å³ per atom)
1,-25.56,19.82
2,-32.20,28.07
3,-28.75,18.49
4,-44.90,31.12
5,-16.53,14.95
6,-19.83,27.05